No. 1
Here is K2YAu after structural relaxation from Alexandria via LeMat-Bulk. Energies are from GGA-PBE.

Unit cell a=4.2660 b=4.2660 c=11.5984 alpha=79.34 beta=79.34 gamma=60.20
With the nearest neighbours (Å) after each atom.
Atoms (fractional coordinates):
Au  0.7631  0.7631  0.7133  3 Y 2.84
K  0.0291  0.0291  0.9168  3 Au 3.38
K  0.2366  0.2366  0.2814  3 Y 4.26-4.28, 6 K 4.27-4.28
Y  0.4712  0.4712  0.5885  3 Au 2.84

Computed properties:
- Space group: Cm (8)
- Theoretical density: 3.4 g/cm³
- Size of the total moment: 0.0 μB per formula unit
- E_form: -0.12 eV/atom
- ΔE to the lowest computed polymorph: 75 meV/atom
- Uncorrected energy: -3.11 eV/atom

No. 2
Here is KYAu after structural relaxation from Alexandria via LeMat-Bulk. Energies are from GGA-PBE.

Unit cell a=4.1075 b=4.1075 c=7.7622 alpha=90.00 beta=90.00 gamma=120.00
With the nearest neighbours (Å) after each atom.
Atoms (fractional coordinates):
Au  0.0000  0.0000  0.9604  3 Y 2.83
K  0.6667  0.3333  0.2778  3 Au 3.42
Y  0.3333  0.6667  0.7618  3 Au 2.83

Computed properties:
- Space group: P3m1 (156)
- Theoretical density: 4.8 g/cm³
- Size of the total moment: 0.2 μB per formula unit
- E_form: -0.16 eV/atom
- ΔE to the lowest computed polymorph: 115 meV/atom
- Uncorrected energy: -3.78 eV/atom